[1]
Below is an optimized crystal structure of SnH3Rh, with properties calculated at the GGA-PBE level.

Properties
Total magnetic moment, μB per formula unit: 0.0
Calculated volume, A^3/atom: 10.85
VASP energy, eV per cell: -85.513

abc: 6.194 4.951 8.185
angles: 90.00 120.17 90.00
Space group P2_1/c (No. 14)
Unique sites:
Sn1 0.066 0.240 0.435 (multiplicity 4)
H1 0.306 0.134 0.830 (multiplicity 4)
H2 0.373 0.637 0.979 (multiplicity 4)
H3 0.446 0.717 0.272 (multiplicity 4)
Rh1 0.363 0.057 0.296 (multiplicity 4)



[2]
Below is an optimized crystal structure of SnHRh3, with properties calculated at the GGA-PBE level.

Properties
Total magnetic moment, μB per formula unit: 0.0
Calculated volume, A^3/atom: 13.00
VASP energy, eV per cell: -60.614

abc: 4.930 5.674 4.933
angles: 90.00 109.58 90.00
Space group P2_1/m (No. 11)
Unique sites:
Sn1 0.235 0.250 0.265 (multiplicity 2)
H1 0.457 0.750 0.046 (multiplicity 2)
Rh1 0.238 0.750 0.261 (multiplicity 2)
Rh2 0.255 0.000 0.754 (multiplicity 4)